Al6ZnNi12 PBE relaxed; energy relative to the elements = -420 meV per atom; calculated volume = 11.804 Å³/atom
1.0
5.559 3.210 2.095
-5.559 3.210 2.095
0.000 -6.419 2.095
Al Zn Ni
6 1 12
Direct
0.069 0.361 0.576
0.361 0.576 0.069
0.424 0.931 0.639
0.576 0.069 0.361
0.639 0.424 0.931
0.931 0.639 0.424
0.000 0.000 0.000
0.105 0.737 0.167
0.167 0.105 0.737
0.207 0.474 0.324
0.263 0.833 0.895
0.324 0.207 0.474
0.474 0.324 0.207
0.526 0.676 0.793
0.676 0.793 0.526
0.737 0.167 0.105
0.793 0.526 0.676
0.833 0.895 0.263
0.895 0.263 0.833